i.
A plane-wave DFT calculation with PBE was carried out for PmTaBi2 after structural relaxation.

The density of states at the Fermi level is 14.908 states/eV/cell.

The space group is R-3m (No. 166, hexagonal axes) and the conventional cell measures 3.3309, 3.3309 and 34.4901 Å, with angles of 90.00, 90.00 and 120.00 degrees. Symmetry generates all atoms from Pm at (0.0000, 0.0000, 0.0000), Ta at (0.0000, 0.0000, 0.5000) and Bi at (0.0000, 0.0000, 0.4148).

***

ii.
A plane-wave DFT calculation with PBE was carried out for PmTaBi2 after structural relaxation.

The density of states at the Fermi level is 4.729 states/eV/cell.

The space group is P4/mmm (No. 123) and the conventional cell measures 5.176, 5.176 and 3.868 Å, with angles of 90.00, 90.00 and 90.00 degrees. Symmetry generates all atoms from Pm at (0.000, 0.000, 0.000), Ta at (0.500, 0.500, 0.000) and Bi at (0.000, 0.500, 0.500).

***

Most stable structure among those shown: ii.